# 1
LiNi2PtN: optimized geometry, GGA-PBE.

Cell and atoms, written as POSCAR:
```
LiNi2PtN
1.0
3.7069 0.0000 0.0000
0.0000 3.7069 0.0000
0.0000 0.0000 3.9748
Li Ni Pt N
1 2 1 1
Direct
0.0000 0.0000 0.0000
0.0000 0.5000 0.5000
0.5000 0.0000 0.5000
0.5000 0.5000 0.0000
0.0000 0.0000 0.5000
```

Computed properties:
SG = P4/mmm, No. 123
Uncorrected energy = -28.587 eV per cell
Formation energy (no corrections) = -72 kJ/mol of formula units
Energy relative to the lowest polymorph listed for this composition = 0.000 eV per atom

# 2
CaLa2GaO: optimized geometry, GGA-PBE.

Cell and atoms, written as POSCAR:
```
CaLa2GaO
1.0
5.0331 0.0000 0.0000
0.0000 5.0331 0.0000
0.0000 0.0000 4.7920
Ca La Ga O
1 2 1 1
Direct
0.0000 0.0000 0.0000
0.0000 0.5000 0.5000
0.5000 0.0000 0.5000
0.5000 0.5000 0.0000
0.0000 0.0000 0.5000
```

Computed properties:
SG = P4/mmm, No. 123
Uncorrected energy = -26.739 eV per cell
Formation energy (no corrections) = -666 kJ/mol of formula units

# 3
Y2MgB2Rh5: optimized geometry, GGA-PBE.

Cell and atoms, written as POSCAR:
```
Y2MgB2Rh5
1.0
9.6540 0.0000 0.0000
0.0000 9.6540 0.0000
0.0000 0.0000 3.1875
Y Mg B Rh
4 2 4 10
Direct
0.1761 0.3239 0.0000
0.3239 0.8239 0.0000
0.6761 0.1761 0.0000
0.8239 0.6761 0.0000
0.0000 0.0000 0.0000
0.5000 0.5000 0.0000
0.1228 0.6228 0.0000
0.3772 0.1228 0.0000
0.6228 0.8772 0.0000
0.8772 0.3772 0.0000
0.0000 0.5000 0.5000
0.0700 0.7754 0.5000
0.2246 0.0700 0.5000
0.2754 0.5700 0.5000
0.4300 0.2754 0.5000
0.5000 0.0000 0.5000
0.5700 0.7246 0.5000
0.7246 0.4300 0.5000
0.7754 0.9300 0.5000
0.9300 0.2246 0.5000
```

Computed properties:
SG = P4/mbm, No. 127
Calculated formation energy = -0.754 eV/atom
Uncorrected energy = -144.352 eV per cell